A plane-wave DFT calculation with PBE-GGA was carried out for a relaxed BaCe6 crystal.

Summary:
* E_tot: -4.800 eV/atom
* symmetry: Im-3m
* energy relative to the elements: 0.561 eV per atom

POSCAR file:
```
BaCe6
1.0
6.727 0.000 0.000
-2.242 6.342 0.000
-2.242 -3.171 5.493
Ce Ba
6 1
Cartesian
-1.121 0.793 4.119
3.363 0.000 2.746
-1.121 3.171 2.746
1.121 -0.793 4.119
1.121 3.964 1.373
3.363 2.378 1.373
0.000 0.000 0.000
```